Record 1
DFT (PBE) results for a relaxed Cd2CuHg crystal.

Properties
The value obtained for the electronic total energy is -1.378 eV per atom.

```
data_Cd2CuHg
_symmetry_space_group_name_H-M 'F -4 3 m'
_symmetry_Int_Tables_number 216
_symmetry_space_group_name_Hall 'F -4 2 3'
_cell_length_a 6.805
_cell_length_b 6.805
_cell_length_c 6.805
_cell_angle_alpha 90.00
_cell_angle_beta 90.00
_cell_angle_gamma 90.00
loop_
_atom_site_label
_atom_site_fract_x
_atom_site_fract_y
_atom_site_fract_z
Cd1 0.000 0.000 0.000
Cd2 0.250 0.250 0.250
Cu1 0.000 0.000 0.500
Hg1 0.250 0.250 0.750
```

Record 2
DFT (PBE) results for a relaxed LiTb5Y2 crystal.

Properties
The value obtained for the electronic total energy is -4.703 eV per atom.

```
data_LiTb5Y2
_symmetry_space_group_name_H-M 'P b a m'
_symmetry_Int_Tables_number 55
_symmetry_space_group_name_Hall '-P 2 2ab'
_cell_length_a 8.548
_cell_length_b 15.500
_cell_length_c 3.673
_cell_angle_alpha 90.00
_cell_angle_beta 90.00
_cell_angle_gamma 90.00
loop_
_atom_site_label
_atom_site_fract_x
_atom_site_fract_y
_atom_site_fract_z
Li1 0.000 0.000 0.000
Tb1 0.000 0.500 0.000
Tb2 0.001 0.276 0.000
Tb3 0.212 0.119 0.500
Y1 0.209 0.882 0.500
```

Record 3
DFT (PBE) results for a relaxed Pa4TcN7 crystal.

Properties
The value obtained for the electronic total energy is -10.370 eV per atom. The calculation puts the raw formation energy at -1.4844 eV/atom.

```
data_Pa4TcN7
_symmetry_space_group_name_H-M 'C 1 2/m 1'
_symmetry_Int_Tables_number 12
_symmetry_space_group_name_Hall '-C 2y'
_cell_length_a 12.895
_cell_length_b 3.845
_cell_length_c 9.138
_cell_angle_alpha 90.00
_cell_angle_beta 133.26
_cell_angle_gamma 90.00
loop_
_atom_site_label
_atom_site_fract_x
_atom_site_fract_y
_atom_site_fract_z
Pa1 0.079 0.000 0.374
Pa2 0.247 0.500 0.831
Tc1 0.000 0.500 0.000
N1 0.000 0.000 0.000
N2 0.101 0.500 0.887
N3 0.128 0.000 0.677
N4 0.197 0.500 0.539
```

Record 4
DFT (PBE) results for a relaxed Ti3Mn crystal.

Properties
The value obtained for the electronic total energy is -8.225 eV per atom.

```
data_Ti3Mn
_symmetry_space_group_name_H-M 'F m -3 m'
_symmetry_Int_Tables_number 225
_symmetry_space_group_name_Hall '-F 4 2 3'
_cell_length_a 6.253
_cell_length_b 6.253
_cell_length_c 6.253
_cell_angle_alpha 90.00
_cell_angle_beta 90.00
_cell_angle_gamma 90.00
loop_
_atom_site_label
_atom_site_fract_x
_atom_site_fract_y
_atom_site_fract_z
Ti1 0.000 0.000 0.000
Ti2 0.250 0.250 0.250
Mn1 0.000 0.000 0.500
```